(1)
10
Lattice="-5.093 1.580 4.048 -3.920 -4.361 -3.230 1.168 -3.009 2.644" Properties=species:S:1:pos:R:3 comment="In2Cu2Ge | the Alexandria database | PBE | optimized geometry" formation_enthalpy_0k_ev_per_atom=0.134 dft_energy_ev_per_atom=-3.524 de_polymorph_mev_per_atom=0.0 sg=P4/mbm total_magnetization_mub_per_fu=0.00 dos_at_fermi_per_ev_cell=3.2 pbc="T T T"
Cu -2.118 -1.382 -0.637
In -2.883 -4.150 -0.156
In -1.766 -1.707 2.130
Ge -4.507 -1.390 0.409
In -4.962 -1.640 3.618
Cu -3.757 0.417 2.134
Ge 0.000 0.000 0.000
Cu -6.896 -1.398 1.455
In -6.079 -4.082 1.333
Cu -5.256 -3.197 -1.316

(2)
8
Lattice="-3.455 1.441 -1.410 0.157 -2.622 -3.067 -4.123 -4.078 5.935" Properties=species:S:1:pos:R:3 comment="NpSi2Ni | the Alexandria database | PBE | optimized geometry" dft_energy_ev_per_atom=-7.877 raw_formation_energy_mev_per_atom=-484.5 sg=Cmcm total_magnetization_mub_per_fu=3.65 dos_at_fermi_per_ev_cell=28.7 pbc="T T T"
Np -3.997 -5.231 1.611
Si -1.110 -1.385 -1.533
Ni -5.178 -2.366 1.758
Si -2.879 -2.326 1.841
Np -3.423 -0.028 -0.152
Si -4.541 -2.933 -0.383
Ni -2.243 -2.893 -0.300
Si -6.310 -3.874 2.991

(3)
5
Lattice="-3.187 -3.080 1.788 3.620 -2.573 2.020 -0.332 2.646 3.966" Properties=species:S:1:pos:R:3 comment="ZrSi2TeS | the Alexandria database | PBE | optimized geometry" dft_energy_ev_per_atom=-4.964 raw_formation_energy_mev_per_atom=368.7 sg=P4/mmm total_magnetization_mub_per_fu=0.00 dos_at_fermi_per_ev_cell=3.7 pbc="T T T"
Si -0.166 1.323 1.983
Te 0.051 -1.503 3.887
S 0.000 0.000 0.000
Si -1.593 -1.540 0.894
Zr 1.810 -1.287 1.010

(4)
4
Lattice="-1.617 -3.791 0.667 3.823 -1.667 -0.208 0.643 0.749 5.816" Properties=species:S:1:pos:R:3 comment="PmSmAsP | the Alexandria database | PBE | optimized geometry" formation_enthalpy_0k_ev_per_atom=-1.538 dft_energy_ev_per_atom=-6.421 sg=P4/mmm total_magnetization_mub_per_fu=0.00 dos_at_fermi_per_ev_cell=0.4 pbc="T T T"
Pm 3.789 -1.043 3.260
Sm 0.747 -2.479 0.790
P 3.467 -1.417 0.352
As 1.070 -2.105 3.699

(5)
5
Lattice="4.194 0.000 0.000 0.000 4.518 0.000 0.000 0.000 4.194" Properties=species:S:1:pos:R:3 comment="BeCdCuPt2 | the Alexandria database | PBE | optimized geometry" formation_enthalpy_0k_ev_per_atom=0.099 dft_energy_ev_per_atom=-4.065 sg=P4/mmm total_magnetization_mub_per_fu=0.00 dos_at_fermi_per_ev_cell=1.5 pbc="T T T"
Cu 2.097 2.259 2.097
Be 0.000 0.000 0.000
Pt 0.000 0.000 2.097
Pt 2.097 0.000 0.000
Cd 0.000 2.259 0.000